[1]
The following is a DFT calculation (GGA-PBEsol) of crystalline FeAsP at its relaxed geometry.

Output
* formation energy from the elements: -485 meV/atom

a b c (Å): 5.5243 5.7412 5.7845
angles (deg): 90.00 118.48 90.00
Space group P2_1/c (No. 14)
Inequivalent atoms, fractional coordinates:
Fe (0.2398, 0.0071, 0.4907)
As (0.3356, 0.6327, 0.6649)
P (0.1586, 0.1410, 0.8124)

[2]
The following is a DFT calculation (GGA-PBEsol) of crystalline LiSn3P at its relaxed geometry.

Output
* formation energy from the elements: 339 meV/atom

a b c (Å): 5.1507 5.1507 5.1507
angles (deg): 90.00 90.00 90.00
Space group Pm-3m (No. 221)
Inequivalent atoms, fractional coordinates:
Li (0.0000, 0.0000, 0.0000)
Sn (0.0000, 0.5000, 0.5000)
P (0.5000, 0.5000, 0.5000)

[3]
The following is a DFT calculation (GGA-PBEsol) of crystalline ZrAgSb2 at its relaxed geometry.

Output
* E_form (uncorrected): -0.3011 eV/atom

a b c (Å): 3.2610 4.8564 5.7718
angles (deg): 90.00 106.52 90.00
Space group Pm (No. 6)
Inequivalent atoms, fractional coordinates:
Zr (0.0000, 0.0000, 0.0000)
Ag (0.1652, 0.5000, 0.3328)
Sb (0.4278, 0.5000, 0.8550)
Sb (0.7230, 0.0000, 0.4468)

[4]
The following is a DFT calculation (GGA-PBEsol) of crystalline LaZrGaPd2 at its relaxed geometry.

Output
* formation energy from the elements: -12 meV/atom

a b c (Å): 4.8683 4.8683 5.1144
angles (deg): 90.00 90.00 90.00
Space group P4/mmm (No. 123)
Inequivalent atoms, fractional coordinates:
La (0.0000, 0.0000, 0.0000)
Zr (0.5000, 0.5000, 0.5000)
Ga (0.5000, 0.5000, 0.0000)
Pd (0.0000, 0.5000, 0.5000)

[5]
The following is a DFT calculation (GGA-PBEsol) of crystalline Sr2AgHg at its relaxed geometry.

Output
* formation energy from the elements: -391 meV/atom

a b c (Å): 5.4385 5.4385 3.9255
angles (deg): 90.00 90.00 90.00
Space group P4/mmm (No. 123)
Inequivalent atoms, fractional coordinates:
Sr (0.0000, 0.5000, 0.0000)
Ag (0.0000, 0.0000, 0.5000)
Hg (0.5000, 0.5000, 0.5000)

[6]
The following is a DFT calculation (GGA-PBEsol) of crystalline InSnCl3 at its relaxed geometry.

Output
* E_form (uncorrected): -0.8750 eV/atom

a b c (Å): 7.9599 7.9599 16.1440
angles (deg): 90.00 90.00 120.00
Space group R-3 (No. 148, hexagonal axes)
Inequivalent atoms, fractional coordinates:
In (0.0000, 0.0000, 0.1071)
Sn (0.0000, 0.0000, 0.3505)
Cl (0.0148, 0.2634, 0.2479)

[7]
The following is a DFT calculation (GGA-PBEsol) of crystalline CsTeBr2 at its relaxed geometry.

Output
* E_form (uncorrected): -0.4869 eV/atom

a b c (Å): 8.1915 8.1915 8.1915
angles (deg): 90.00 90.00 90.00
Space group Fm-3m (No. 225)
Inequivalent atoms, fractional coordinates:
Cs (0.0000, 0.0000, 0.0000)
Te (0.0000, 0.0000, 0.5000)
Br (0.2500, 0.2500, 0.2500)

[8]
The following is a DFT calculation (GGA-PBEsol) of crystalline BaSc8Ni2O15 at its relaxed geometry.

Output
* E_form (uncorrected): -3.0526 eV/atom

a b c (Å): 11.9097 10.7059 9.6673
angles (deg): 90.00 90.00 90.00
Space group Cmc2_1 (No. 36)
Inequivalent atoms, fractional coordinates:
Ba (0.0000, 0.2213, 0.0000)
Sc (0.0000, 0.0636, 0.6572)
Sc (0.0000, 0.4406, 0.3816)
Sc (0.1303, 0.3300, 0.6658)
Sc (0.1329, 0.1628, 0.3738)
Sc (0.2365, 0.4141, 0.1360)
Ni (0.2460, 0.0872, 0.9087)
O (0.0000, 0.1012, 0.2582)
O (0.0000, 0.2440, 0.5263)
O (0.0000, 0.3930, 0.7860)
O (0.1246, 0.4812, 0.5269)
O (0.1273, 0.3383, 0.2828)
O (0.1283, 0.0127, 0.5180)
O (0.1299, 0.1565, 0.7663)
O (0.2456, 0.4314, 0.7723)
O (0.2465, 0.2474, 0.5226)

[9]
The following is a DFT calculation (GGA-PBEsol) of crystalline HfTe3W at its relaxed geometry.

Output
* E_form (uncorrected): 0.9464 eV/atom

a b c (Å): 5.2024 5.2024 5.2024
angles (deg): 90.00 90.00 90.00
Space group Pm-3m (No. 221)
Inequivalent atoms, fractional coordinates:
Hf (0.0000, 0.0000, 0.0000)
Te (0.0000, 0.5000, 0.5000)
W (0.5000, 0.5000, 0.5000)

[10]
The following is a DFT calculation (GGA-PBEsol) of crystalline TbGe2Rh2 at its relaxed geometry.

Output
* formation energy from the elements: -927 meV/atom

a b c (Å): 4.0740 4.0740 10.2493
angles (deg): 90.00 90.00 90.00
Space group I4/mmm (No. 139)
Inequivalent atoms, fractional coordinates:
Tb (0.0000, 0.0000, 0.0000)
Ge (0.0000, 0.0000, 0.3790)
Rh (0.0000, 0.5000, 0.2500)

[11]
The following is a DFT calculation (GGA-PBEsol) of crystalline YMn2Te at its relaxed geometry.

Output
* E_form (uncorrected): 0.1975 eV/atom

a b c (Å): 3.7549 4.1948 5.0778
angles (deg): 90.00 90.00 90.00
Space group Pmmm (No. 47)
Inequivalent atoms, fractional coordinates:
Y (0.0000, 0.0000, 0.0000)
Mn (0.5000, 0.5000, 0.1958)
Te (0.5000, 0.0000, 0.5000)

[12]
The following is a DFT calculation (GGA-PBEsol) of crystalline BeGeS2N at its relaxed geometry.

Output
* E_form (uncorrected): 0.4059 eV/atom
* energy relative to the lowest polymorph listed for this composition: 0.00 eV per formula unit

a b c (Å): 4.5957 4.5957 3.1983
angles (deg): 90.00 90.00 90.00
Space group P4/mmm (No. 123)
Inequivalent atoms, fractional coordinates:
Be (0.0000, 0.0000, 0.0000)
Ge (0.5000, 0.5000, 0.5000)
S (0.0000, 0.5000, 0.0000)
N (0.0000, 0.0000, 0.5000)